A relaxed BaY4Ag5 crystal. Source: Alexandria, functional GGA-PBE.

abc: 3.702 3.702 18.927
angles: 90.00 90.00 90.00
Fractional coordinates of all 10 atoms:
Ag1 0.500 0.500 0.872
Ag2 0.500 0.500 0.691
Ag3 0.500 0.500 0.309
Ag4 0.500 0.500 0.500
Ag5 0.500 0.500 0.128
Ba1 0.000 0.000 0.000
Y1 0.000 0.000 0.213
Y2 0.000 0.000 0.405
Y3 0.000 0.000 0.595
Y4 0.000 0.000 0.787

- DOS(E_F): 9.0 states/eV/cell
- DFT total energy: -44.90 eV per cell

=====

A relaxed Bi2PdRh crystal. Source: Alexandria, functional GGA-PBE.

abc: 4.015 4.015 7.010
angles: 73.36 73.36 60.00
Fractional coordinates of all 4 atoms:
Bi1 0.255 0.255 0.234
Bi2 0.078 0.078 0.766
Rh1 0.660 0.660 0.020
Pd1 0.507 0.507 0.480

- DOS(E_F): 3.1 states/eV/cell
- DFT total energy: -20.53 eV per cell

=====

A relaxed NbAl crystal. Source: Alexandria, functional GGA-PBE.

abc: 8.347 8.347 8.347
angles: 90.00 90.00 90.00
Fractional coordinates of all 16 atoms:
Al1 0.802 0.802 0.198
Al2 0.698 0.698 0.698
Al3 0.198 0.198 0.198
Al4 0.198 0.802 0.802
Al5 0.302 0.302 0.698
Al6 0.698 0.302 0.302
Al7 0.802 0.198 0.802
Al8 0.302 0.698 0.302
Nb1 0.614 0.614 0.386
Nb2 0.886 0.886 0.886
Nb3 0.614 0.386 0.614
Nb4 0.114 0.114 0.886
Nb5 0.386 0.386 0.386
Nb6 0.886 0.114 0.114
Nb7 0.114 0.886 0.114
Nb8 0.386 0.614 0.614

- DOS(E_F): 16.1 states/eV/cell
- DFT total energy: -89.83 eV per cell